[1]
The following is a DFT calculation (GGA-PBE) of a relaxed structure of Ca4HgRu.

Calculated values
E: -2.197 eV per atom
Space group: F-43m, No. 216
Volume: 27.7 Å³ per atom
ΔE_f: 16.93 kcal/mol of atoms
ΔE to the lowest computed polymorph: 0.9017 eV/atom

a b c (Å): 6.168 6.168 6.168
angles (deg): 60.00 60.00 60.00
Positions (direct):
Ca (0.376, 0.376, 0.376)
Ca (0.376, 0.376, 0.872)
Ca (0.376, 0.872, 0.376)
Ca (0.872, 0.376, 0.376)
Hg (0.000, 0.000, 0.000)
Ru (0.750, 0.750, 0.750)

[2]
The following is a DFT calculation (GGA-PBE) of a relaxed structure of Y4TmMg5.

Calculated values
E: -3.929 eV per atom
Space group: P4/mmm, No. 123
Volume: 27.3 Å³ per atom
ΔE_f: -2.27 kcal/mol of atoms

a b c (Å): 3.797 3.797 18.928
angles (deg): 90.00 90.00 90.00
Positions (direct):
Y (0.000, 0.000, 0.101)
Y (0.000, 0.000, 0.302)
Y (0.000, 0.000, 0.698)
Y (0.000, 0.000, 0.899)
Tm (0.000, 0.000, 0.500)
Mg (0.500, 0.500, 0.000)
Mg (0.500, 0.500, 0.201)
Mg (0.500, 0.500, 0.402)
Mg (0.500, 0.500, 0.598)
Mg (0.500, 0.500, 0.799)